a) # PBE CaAc4, relaxed
data_CaAc4
_chemical_formula_sum 'Ca1 Ac4'
_cell_length_a 3.9780
_cell_length_b 3.9780
_cell_length_c 16.4337
_cell_angle_alpha 83.10
_cell_angle_beta 83.10
_cell_angle_gamma 60.03
_space_group_name_H-M_alt 'P 1'
_space_group_IT_number 1
loop_
_space_group_symop_operation_xyz
'x,y,z'
loop_
_atom_site_label
_atom_site_type_symbol
_atom_site_fract_x
_atom_site_fract_y
_atom_site_fract_z
_atom_site_occupancy
Ac1 Ac 0.2011 0.2011 0.3982 1
Ac2 Ac 0.7989 0.7989 0.6018 1
Ca1 Ca 0.0000 0.0000 0.0000 1
Ac3 Ac 0.5997 0.5997 0.2007 1
Ac4 Ac 0.4003 0.4003 0.7993 1
# mass density = 7.06 g/cm3

***

b) # PBE CaAc4, relaxed
data_CaAc4
_chemical_formula_sum 'Ca1 Ac4'
_cell_length_a 6.2650
_cell_length_b 6.2650
_cell_length_c 6.2650
_cell_angle_alpha 90.00
_cell_angle_beta 90.00
_cell_angle_gamma 90.00
_space_group_name_H-M_alt 'P 1'
_space_group_IT_number 1
loop_
_space_group_symop_operation_xyz
'x,y,z'
loop_
_atom_site_label
_atom_site_type_symbol
_atom_site_fract_x
_atom_site_fract_y
_atom_site_fract_z
_atom_site_occupancy
Ac1 Ac 0.5000 0.5000 0.0000 1
Ac2 Ac 0.5000 0.0000 0.5000 1
Ac3 Ac 0.0000 0.5000 0.5000 1
Ca1 Ca 0.5000 0.5000 0.5000 1
Ac4 Ac 0.0000 0.0000 0.0000 1
# mass density = 6.40 g/cm3

***

Result of the stability comparison: b) is the least stable of them.

***

a) # PBE Ca2Ac5, relaxed
data_Ca2Ac5
_chemical_formula_sum 'Ca2 Ac5'
_cell_length_a 6.2942
_cell_length_b 6.2942
_cell_length_c 9.7832
_cell_angle_alpha 71.24
_cell_angle_beta 71.24
_cell_angle_gamma 60.00
_space_group_name_H-M_alt 'P 1'
_space_group_IT_number 1
loop_
_space_group_symop_operation_xyz
'x,y,z'
loop_
_atom_site_label
_atom_site_type_symbol
_atom_site_fract_x
_atom_site_fract_y
_atom_site_fract_z
_atom_site_occupancy
Ac1 Ac 0.5000 0.5000 0.5000 1
Ca1 Ca 0.6487 0.6487 0.0540 1
Ac2 Ac 0.0702 0.0702 0.7894 1
Ac3 Ac 0.9298 0.9298 0.2106 1
Ac4 Ac 0.2069 0.2069 0.3794 1
Ac5 Ac 0.7931 0.7931 0.6206 1
Ca2 Ca 0.3513 0.3513 0.9460 1
# mass density = 6.47 g/cm3

***

b) # PBE Ca2Ac5, relaxed
data_Ca2Ac5
_chemical_formula_sum 'Ca2 Ac5'
_cell_length_a 3.9902
_cell_length_b 3.9902
_cell_length_c 19.7293
_cell_angle_alpha 95.80
_cell_angle_beta 95.80
_cell_angle_gamma 90.00
_space_group_name_H-M_alt 'P 1'
_space_group_IT_number 1
loop_
_space_group_symop_operation_xyz
'x,y,z'
loop_
_atom_site_label
_atom_site_type_symbol
_atom_site_fract_x
_atom_site_fract_y
_atom_site_fract_z
_atom_site_occupancy
Ac1 Ac 0.5732 0.5732 0.1465 1
Ca1 Ca 0.7155 0.7155 0.4311 1
Ac2 Ac 0.0000 0.0000 0.0000 1
Ac3 Ac 0.4268 0.4268 0.8535 1
Ac4 Ac 0.1433 0.1433 0.2865 1
Ca2 Ca 0.2845 0.2845 0.5689 1
Ac5 Ac 0.8567 0.8567 0.7135 1
# mass density = 6.49 g/cm3

***

Result of the stability comparison: a) is the least stable of them.

***

a) # PBE CaAc8, relaxed
data_CaAc8
_chemical_formula_sum 'Ca1 Ac8'
_cell_length_a 4.1681
_cell_length_b 10.0693
_cell_length_c 10.0693
_cell_angle_alpha 87.54
_cell_angle_beta 78.06
_cell_angle_gamma 78.06
_space_group_name_H-M_alt 'P 1'
_space_group_IT_number 1
loop_
_space_group_symop_operation_xyz
'x,y,z'
loop_
_atom_site_label
_atom_site_type_symbol
_atom_site_fract_x
_atom_site_fract_y
_atom_site_fract_z
_atom_site_occupancy
Ca1 Ca 0.0000 0.0000 0.0000 1
Ac1 Ac 0.0000 0.6661 0.3339 1
Ac2 Ac 0.6642 0.6717 0.0000 1
Ac3 Ac 0.0000 0.3339 0.6661 1
Ac4 Ac 0.3358 0.0000 0.3283 1
Ac5 Ac 0.6642 0.0000 0.6717 1
Ac6 Ac 0.3358 0.3283 0.0000 1
Ac7 Ac 0.3339 0.6661 0.6661 1
Ac8 Ac 0.6661 0.3339 0.3339 1
# mass density = 7.62 g/cm3

***

b) # PBE CaAc8, relaxed
data_CaAc8
_chemical_formula_sum 'Ca1 Ac8'
_cell_length_a 5.6823
_cell_length_b 8.8900
_cell_length_c 8.8899
_cell_angle_alpha 84.08
_cell_angle_beta 71.31
_cell_angle_gamma 71.32
_space_group_name_H-M_alt 'P 1'
_space_group_IT_number 1
loop_
_space_group_symop_operation_xyz
'x,y,z'
loop_
_atom_site_label
_atom_site_type_symbol
_atom_site_fract_x
_atom_site_fract_y
_atom_site_fract_z
_atom_site_occupancy
Ac1 Ac 0.3349 0.6654 0.6653 1
Ac2 Ac 0.6692 0.6617 0.9999 1
Ca1 Ca 0.0000 0.0000 0.0000 1
Ac3 Ac 0.0000 0.6654 0.3346 1
Ac4 Ac 0.3308 0.0001 0.3382 1
Ac5 Ac 0.6692 0.9999 0.6618 1
Ac6 Ac 0.3308 0.3383 0.0001 1
Ac7 Ac 0.6651 0.3346 0.3347 1
Ac8 Ac 0.0000 0.3346 0.6654 1
# mass density = 7.65 g/cm3

***

Result of the stability comparison: a) is the least stable of them.

***

a) # PBE Ca13Ac3, relaxed
data_Ca13Ac3
_chemical_formula_sum 'Ca13 Ac3'
_cell_length_a 7.8207
_cell_length_b 7.8207
_cell_length_c 12.7404
_cell_angle_alpha 90.00
_cell_angle_beta 90.00
_cell_angle_gamma 119.47
_space_group_name_H-M_alt 'P 1'
_space_group_IT_number 1
loop_
_space_group_symop_operation_xyz
'x,y,z'
loop_
_atom_site_label
_atom_site_type_symbol
_atom_site_fract_x
_atom_site_fract_y
_atom_site_fract_z
_atom_site_occupancy
Ac1 Ac 0.2092 0.7908 0.0000 1
Ca1 Ca 0.0401 0.4620 0.7493 1
Ca2 Ca 0.5380 0.9599 0.2507 1
Ca3 Ca 0.7146 0.7913 0.5000 1
Ca4 Ca 0.2087 0.2854 0.5000 1
Ca5 Ca 0.2074 0.7926 0.5000 1
Ca6 Ca 0.5380 0.9599 0.7493 1
Ac2 Ac 0.0402 0.9598 0.7574 1
Ca7 Ca 0.5403 0.4597 0.7510 1
Ca8 Ca 0.2101 0.2890 0.0000 1
Ca9 Ca 0.7110 0.7899 0.0000 1
Ca10 Ca 0.0401 0.4620 0.2507 1
Ca11 Ca 0.7103 0.2897 0.5000 1
Ca12 Ca 0.5403 0.4597 0.2490 1
Ac3 Ac 0.0402 0.9598 0.2426 1
Ca13 Ca 0.7111 0.2889 0.0000 1
# mass density = 2.94 g/cm3

***

b) # PBE Ca13Ac3, relaxed
data_Ca13Ac3
_chemical_formula_sum 'Ca13 Ac3'
_cell_length_a 8.7232
_cell_length_b 8.7232
_cell_length_c 8.8611
_cell_angle_alpha 90.00
_cell_angle_beta 90.00
_cell_angle_gamma 90.10
_space_group_name_H-M_alt 'P 1'
_space_group_IT_number 1
loop_
_space_group_symop_operation_xyz
'x,y,z'
loop_
_atom_site_label
_atom_site_type_symbol
_atom_site_fract_x
_atom_site_fract_y
_atom_site_fract_z
_atom_site_occupancy
Ca1 Ca 0.7457 0.2543 0.5000 1
Ca2 Ca 0.2530 0.7470 0.5000 1
Ca3 Ca 0.4995 0.5005 0.7489 1
Ca4 Ca 0.2532 0.2542 0.5000 1
Ca5 Ca 0.2540 0.7460 0.0000 1
Ca6 Ca 0.7458 0.7468 0.5000 1
Ca7 Ca 0.0017 0.5026 0.7486 1
Ca8 Ca 0.0017 0.5026 0.2514 1
Ca9 Ca 0.4974 0.9983 0.2514 1
Ca10 Ca 0.7451 0.7453 0.0000 1
Ac1 Ac 0.9992 0.0008 0.7506 1
Ca11 Ca 0.4995 0.5005 0.2511 1
Ac2 Ac 0.7529 0.2471 0.0000 1
Ac3 Ac 0.9992 0.0008 0.2494 1
Ca12 Ca 0.2547 0.2549 0.0000 1
Ca13 Ca 0.4974 0.9983 0.7486 1
# mass density = 2.96 g/cm3

***

Result of the stability comparison: b) is the least stable of them.

***

a) # PBE CaAc5, relaxed
data_CaAc5
_chemical_formula_sum 'Ca1 Ac5'
_cell_length_a 4.0207
_cell_length_b 7.5896
_cell_length_c 10.5605
_cell_angle_alpha 60.25
_cell_angle_beta 79.03
_cell_angle_gamma 74.64
_space_group_name_H-M_alt 'P 1'
_space_group_IT_number 1
loop_
_space_group_symop_operation_xyz
'x,y,z'
loop_
_atom_site_label
_atom_site_type_symbol
_atom_site_fract_x
_atom_site_fract_y
_atom_site_fract_z
_atom_site_occupancy
Ac1 Ac 0.3880 0.5022 0.7218 1
Ac2 Ac 0.6691 0.9973 0.6646 1
Ca1 Ca 0.0003 0.9990 0.0003 1
Ac3 Ac 0.7225 0.4996 0.0554 1
Ac4 Ac 0.0558 0.4949 0.3936 1
Ac5 Ac 0.3311 0.0069 0.3310 1
# mass density = 7.25 g/cm3

***

b) # PBE CaAc5, relaxed
data_CaAc5
_chemical_formula_sum 'Ca1 Ac5'
_cell_length_a 4.2474
_cell_length_b 6.4139
_cell_length_c 10.3887
_cell_angle_alpha 107.98
_cell_angle_beta 90.00
_cell_angle_gamma 90.00
_space_group_name_H-M_alt 'P 1'
_space_group_IT_number 1
loop_
_space_group_symop_operation_xyz
'x,y,z'
loop_
_atom_site_label
_atom_site_type_symbol
_atom_site_fract_x
_atom_site_fract_y
_atom_site_fract_z
_atom_site_occupancy
Ac1 Ac 0.0000 0.6787 0.3575 1
Ac2 Ac 0.5000 0.1517 0.3035 1
Ac3 Ac 0.0000 0.3213 0.6425 1
Ca1 Ca 0.0000 0.0000 0.0000 1
Ac4 Ac 0.5000 0.8483 0.6965 1
Ac5 Ac 0.5000 0.5000 0.0000 1
# mass density = 7.25 g/cm3

***

c) # PBE CaAc5, relaxed
data_CaAc5
_chemical_formula_sum 'Ca1 Ac5'
_cell_length_a 5.6909
_cell_length_b 5.6471
_cell_length_c 8.7830
_cell_angle_alpha 108.75
_cell_angle_beta 90.00
_cell_angle_gamma 90.00
_space_group_name_H-M_alt 'P 1'
_space_group_IT_number 1
loop_
_space_group_symop_operation_xyz
'x,y,z'
loop_
_atom_site_label
_atom_site_type_symbol
_atom_site_fract_x
_atom_site_fract_y
_atom_site_fract_z
_atom_site_occupancy
Ac1 Ac 0.5000 0.8313 0.6626 1
Ac2 Ac 0.0000 0.3320 0.6640 1
Ac3 Ac 0.5000 0.5000 0.0000 1
Ac4 Ac 0.0000 0.6680 0.3360 1
Ac5 Ac 0.5000 0.1687 0.3374 1
Ca1 Ca 0.0000 0.0000 0.0000 1
# mass density = 7.30 g/cm3

***

Result of the stability comparison: b) is the least stable of them.

***

a) # PBE Ca2Ac, relaxed
data_Ca2Ac
_chemical_formula_sum 'Ca2 Ac1'
_cell_length_a 3.9167
_cell_length_b 3.9167
_cell_length_c 9.6541
_cell_angle_alpha 89.99
_cell_angle_beta 89.99
_cell_angle_gamma 60.01
_space_group_name_H-M_alt 'P 1'
_space_group_IT_number 1
loop_
_space_group_symop_operation_xyz
'x,y,z'
loop_
_atom_site_label
_atom_site_type_symbol
_atom_site_fract_x
_atom_site_fract_y
_atom_site_fract_z
_atom_site_occupancy
Ca1 Ca 0.3329 0.3329 0.3355 1
Ac1 Ac 0.0000 0.0000 0.0000 1
Ca2 Ca 0.6671 0.6671 0.6645 1
# mass density = 3.98 g/cm3

***

b) # PBE Ca2Ac, relaxed
data_Ca2Ac
_chemical_formula_sum 'Ca2 Ac1'
_cell_length_a 4.3184
_cell_length_b 4.3184
_cell_length_c 7.4645
_cell_angle_alpha 106.81
_cell_angle_beta 106.81
_cell_angle_gamma 90.01
_space_group_name_H-M_alt 'P 1'
_space_group_IT_number 1
loop_
_space_group_symop_operation_xyz
'x,y,z'
loop_
_atom_site_label
_atom_site_type_symbol
_atom_site_fract_x
_atom_site_fract_y
_atom_site_fract_z
_atom_site_occupancy
Ca1 Ca 0.8264 0.8264 0.6527 1
Ac1 Ac 0.5000 0.5000 0.0000 1
Ca2 Ca 0.1736 0.1736 0.3473 1
# mass density = 4.02 g/cm3

***

Result of the stability comparison: b) is the least stable of them.